Record 1
# VBr2Cl PBE relaxed
data_VBr2Cl
_chemical_formula_sum 'V4 Br8 Cl4'
_symmetry_space_group_name_H-M 'F m -3 m'
_symmetry_Int_Tables_number 225
_symmetry_space_group_name_Hall '-F 4 2 3'
_cell_length_a 6.921
_cell_length_b 6.921
_cell_length_c 6.921
_cell_angle_alpha 90.00
_cell_angle_beta 90.00
_cell_angle_gamma 90.00
loop_
_atom_site_label
_atom_site_fract_x
_atom_site_fract_y
_atom_site_fract_z
V1 0.000 0.000 0.000
Br1 0.250 0.250 0.250
Cl1 0.000 0.000 0.500
# * offset from the most stable computed form: 0.973 eV/atom
# * calculated density: 4.933 g/cm³
# * E_tot: -14.09 eV per formula unit
# * formation energy (no corrections): 5.37 kJ/mol of atoms

---

Record 2
# Pm2CoPt PBE relaxed
data_Pm2CoPt
_chemical_formula_sum 'Pm2 Co1 Pt1'
_symmetry_space_group_name_H-M 'P 4/m m m'
_symmetry_Int_Tables_number 123
_symmetry_space_group_name_Hall '-P 4 2'
_cell_length_a 3.508
_cell_length_b 3.508
_cell_length_c 7.073
_cell_angle_alpha 90.00
_cell_angle_beta 90.00
_cell_angle_gamma 90.00
loop_
_atom_site_label
_atom_site_fract_x
_atom_site_fract_y
_atom_site_fract_z
Pm1 0.000 0.000 0.243
Co1 0.500 0.500 0.000
Pt1 0.500 0.500 0.500
# * energy of formation from the pure elements: -0.5382 eV per atom
# * calculated density: 10.377 g/cm³
# * E_tot: -24.80 eV per formula unit

---

Record 3
# CaMg2SbH PBE relaxed
data_CaMg2SbH
_chemical_formula_sum 'Ca1 Mg2 Sb1 H1'
_symmetry_space_group_name_H-M 'P 4/m m m'
_symmetry_Int_Tables_number 123
_symmetry_space_group_name_Hall '-P 4 2'
_cell_length_a 4.616
_cell_length_b 4.616
_cell_length_c 4.726
_cell_angle_alpha 90.00
_cell_angle_beta 90.00
_cell_angle_gamma 90.00
loop_
_atom_site_label
_atom_site_fract_x
_atom_site_fract_y
_atom_site_fract_z
Ca1 0.000 0.000 0.000
Mg1 0.000 0.500 0.500
Sb1 0.500 0.500 0.000
H1 0.000 0.000 0.500
# * calculated density: 3.486 g/cm³
# * E_tot: -14.34 eV per formula unit

---

Record 4
# RbCdBiTe3 PBE relaxed
data_RbCdBiTe3
_chemical_formula_sum 'Rb2 Cd2 Bi2 Te6'
_symmetry_space_group_name_H-M 'P 1 21/m 1'
_symmetry_Int_Tables_number 11
_symmetry_space_group_name_Hall '-P 2yb'
_cell_length_a 10.040
_cell_length_b 4.607
_cell_length_c 10.900
_cell_angle_alpha 90.00
_cell_angle_beta 107.42
_cell_angle_gamma 90.00
loop_
_atom_site_label
_atom_site_fract_x
_atom_site_fract_y
_atom_site_fract_z
Rb1 0.205 0.250 0.246
Cd1 0.084 0.250 0.611
Bi1 0.332 0.750 0.872
Te1 0.116 0.250 0.879
Te2 0.218 0.750 0.536
Te3 0.460 0.750 0.158
# * calculated density: 5.452 g/cm³
# * E_tot: -18.57 eV per formula unit
# * formation energy (no corrections): -54.32 kJ/mol of atoms

---

Record 5
# PrHo2ErSe6 PBE relaxed
data_PrHo2ErSe6
_chemical_formula_sum 'Pr3 Ho6 Er3 Se18'
_symmetry_space_group_name_H-M 'R 3'
_symmetry_Int_Tables_number 146
_symmetry_space_group_name_Hall 'R 3'
_cell_length_a 7.2608
_cell_length_b 7.2608
_cell_length_c 19.4646
_cell_angle_alpha 90.00
_cell_angle_beta 90.00
_cell_angle_gamma 120.00
loop_
_atom_site_label
_atom_site_fract_x
_atom_site_fract_y
_atom_site_fract_z
Pr1 0.0000 0.0000 0.0000
Ho1 0.0000 0.0000 0.2960
Ho2 0.0000 0.0000 0.8004
Er1 0.0000 0.0000 0.4931
Se1 0.0017 0.3103 0.8939
Se2 0.0230 0.7149 0.3948
# * calculated density: 6.232 g/cm³
# * E_tot: -57.81 eV per formula unit
# * formation energy (no corrections): -177.60 kJ/mol of atoms

---

Record 6
# NaSn2Ge2 PBE relaxed
data_NaSn2Ge2
_chemical_formula_sum 'Na2 Sn4 Ge4'
_symmetry_space_group_name_H-M 'P 4/m b m'
_symmetry_Int_Tables_number 127
_symmetry_space_group_name_Hall '-P 4 2ab'
_cell_length_a 8.158
_cell_length_b 8.158
_cell_length_c 3.817
_cell_angle_alpha 90.00
_cell_angle_beta 90.00
_cell_angle_gamma 90.00
loop_
_atom_site_label
_atom_site_fract_x
_atom_site_fract_y
_atom_site_fract_z
Na1 0.000 0.000 0.000
Sn1 0.139 0.361 0.000
Ge1 0.139 0.639 0.500
# * offset from the most stable computed form: 0.058 eV/atom
# * energy of formation from the pure elements: 0.0763 eV per atom
# * calculated density: 5.303 g/cm³
# * E_tot: -18.18 eV per formula unit

---

Record 7
# CeHoSb PBE relaxed
data_CeHoSb
_chemical_formula_sum 'Ce1 Ho1 Sb1'
_symmetry_space_group_name_H-M 'P 3 m 1'
_symmetry_Int_Tables_number 156
_symmetry_space_group_name_Hall 'P 3 -2"'
_cell_length_a 5.1201
_cell_length_b 5.1201
_cell_length_c 3.9876
_cell_angle_alpha 90.00
_cell_angle_beta 90.00
_cell_angle_gamma 120.00
loop_
_atom_site_label
_atom_site_fract_x
_atom_site_fract_y
_atom_site_fract_z
Ce1 0.0000 0.0000 0.0000
Ho1 0.6667 0.3333 0.4842
Sb1 0.3333 0.6667 0.5602
# * calculated density: 7.828 g/cm³
# * E_tot: -15.84 eV per formula unit
# * formation energy (no corrections): -38.77 kJ/mol of atoms

---

Record 8
# Cr3Br PBE relaxed
data_Cr3Br
_chemical_formula_sum 'Cr12 Br4'
_symmetry_space_group_name_H-M 'C m c m'
_symmetry_Int_Tables_number 63
_symmetry_space_group_name_Hall '-C 2c 2'
_cell_length_a 9.473
_cell_length_b 8.730
_cell_length_c 3.958
_cell_angle_alpha 90.00
_cell_angle_beta 90.00
_cell_angle_gamma 90.00
loop_
_atom_site_label
_atom_site_fract_x
_atom_site_fract_y
_atom_site_fract_z
Cr1 0.000 0.148 0.250
Cr2 0.129 0.070 0.750
Br1 0.000 0.335 0.750
# * offset from the most stable computed form: 0.280 eV/atom
# * calculated density: 4.786 g/cm³
# * E_tot: -27.72 eV per formula unit
# * formation energy (no corrections): 68.09 kJ/mol of atoms

---

Record 9
# TaCuRe PBE relaxed
data_TaCuRe
_chemical_formula_sum 'Ta2 Cu2 Re2'
_symmetry_space_group_name_H-M 'I 4 m m'
_symmetry_Int_Tables_number 107
_symmetry_space_group_name_Hall 'I 4 -2'
_cell_length_a 3.288
_cell_length_b 3.288
_cell_length_c 8.471
_cell_angle_alpha 90.00
_cell_angle_beta 90.00
_cell_angle_gamma 90.00
loop_
_atom_site_label
_atom_site_fract_x
_atom_site_fract_y
_atom_site_fract_z
Ta1 0.000 0.000 0.000
Cu1 0.000 0.000 0.671
Re1 0.000 0.000 0.337
# * offset from the most stable computed form: 0.015 eV/atom
# * energy of formation from the pure elements: 0.0963 eV per atom
# * calculated density: 15.622 g/cm³
# * E_tot: -28.11 eV per formula unit

---

Record 10
# InPt2W PBE relaxed
data_InPt2W
_chemical_formula_sum 'In4 Pt8 W4'
_symmetry_space_group_name_H-M 'F m m m'
_symmetry_Int_Tables_number 69
_symmetry_space_group_name_Hall '-F 2 2'
_cell_length_a 5.595
_cell_length_b 6.975
_cell_length_c 6.996
_cell_angle_alpha 90.00
_cell_angle_beta 90.00
_cell_angle_gamma 90.00
loop_
_atom_site_label
_atom_site_fract_x
_atom_site_fract_y
_atom_site_fract_z
In1 0.000 0.000 0.000
Pt1 0.250 0.250 0.250
W1 0.000 0.000 0.500
# * energy of formation from the pure elements: 0.0020 eV per atom
# * calculated density: 16.759 g/cm³
# * E_tot: -27.77 eV per formula unit

---

Record 11
# Be9NbAl2 PBE relaxed
data_Be9NbAl2
_chemical_formula_sum 'Be27 Nb3 Al6'
_symmetry_space_group_name_H-M 'R -3 m'
_symmetry_Int_Tables_number 166
_symmetry_space_group_name_Hall '-R 3 2"'
_cell_length_a 4.4519
_cell_length_b 4.4519
_cell_length_c 20.7806
_cell_angle_alpha 90.00
_cell_angle_beta 90.00
_cell_angle_gamma 120.00
loop_
_atom_site_label
_atom_site_fract_x
_atom_site_fract_y
_atom_site_fract_z
Be1 0.0000 0.0000 0.0000
Be2 0.0000 0.0000 0.1681
Be3 0.0027 0.5014 0.5808
Nb1 0.0000 0.0000 0.5000
Al1 0.0000 0.0000 0.3614
# * energy of formation from the pure elements: -0.1242 eV per atom
# * calculated density: 3.184 g/cm³
# * E_tot: -52.58 eV per formula unit

---

Record 12
# Dy3Sb2P PBE relaxed
data_Dy3Sb2P
_chemical_formula_sum 'Dy12 Sb8 P4'
_symmetry_space_group_name_H-M 'C 1 2/c 1'
_symmetry_Int_Tables_number 15
_symmetry_space_group_name_Hall '-C 2yc'
_cell_length_a 7.444
_cell_length_b 12.770
_cell_length_c 7.325
_cell_angle_alpha 90.00
_cell_angle_beta 109.27
_cell_angle_gamma 90.00
loop_
_atom_site_label
_atom_site_fract_x
_atom_site_fract_y
_atom_site_fract_z
Dy1 0.225 0.076 0.497
Dy2 0.250 0.250 0.000
Sb1 0.000 0.256 0.250
Sb2 0.000 0.418 0.750
P1 0.000 0.085 0.750
# * offset from the most stable computed form: 0.000 eV/atom
# * calculated density: 7.700 g/cm³
# * E_tot: -34.91 eV per formula unit
# * formation energy (no corrections): -119.87 kJ/mol of atoms

---

Among the records above, which one has the highest calculated density?
InPt2W

---

Which value of calculated density does entry 1 give?
4.933 g/cm³